# 1
Here is a relaxed structure of SrHfO3 from Alexandria. Energies are from GGA-PBEsol.

a b c (Å): 5.7557 8.0888 5.7762
angles (deg): 90.00 90.00 90.00
Space group Imma (No. 74)
Symmetry-distinct sites (fractional):
1 Sr 0.0000 0.2500 0.0090 (multiplicity 4)
2 Hf 0.0000 0.0000 0.5000 (multiplicity 4)
3 O 0.0000 0.2500 0.5767 (multiplicity 4)
4 O 0.2500 0.0417 0.2500 (multiplicity 8)

Results
As for the total energy: -9.06 eV per atom. The value obtained for the raw formation energy is -3.441 eV per atom. Its magnetic moment is 0.0 μB per formula unit. As for the crystal system: orthorhombic.


# 2
Here is a relaxed structure of Sr2HfO4 from Alexandria. Energies are from GGA-PBEsol.

a b c (Å): 5.6725 5.6725 25.9137
angles (deg): 90.00 90.00 90.00
Space group I4_1/acd (No. 142, origin choice 2)
Symmetry-distinct sites (fractional):
1 Sr 0.0000 0.2500 0.0498 (multiplicity 16)
2 Hf 0.0000 0.2500 0.3750 (multiplicity 8)
3 O 0.0000 0.2500 0.2942 (multiplicity 16)
4 O 0.2012 0.0488 0.1250 (multiplicity 16)

Results
As for the total energy: -8.26 eV per atom. Its polymorph energy (0 for the lowest one) is 8 meV per atom. The value obtained for the raw formation energy is -3.237 eV per atom. Its magnetic moment is 0.0 μB per formula unit. As for the crystal system: tetragonal.


# 3
Here is a relaxed structure of Sr3Hf2O7 from Alexandria. Energies are from GGA-PBEsol.

a b c (Å): 4.0858 4.0858 20.7756
angles (deg): 90.00 90.00 90.00
Space group I4/mmm (No. 139)
Symmetry-distinct sites (fractional):
1 Sr 0.0000 0.0000 0.0000 (multiplicity 2)
2 Sr 0.0000 0.0000 0.1862 (multiplicity 4)
3 Hf 0.0000 0.0000 0.4004 (multiplicity 4)
4 O 0.0000 0.0000 0.3013 (multiplicity 4)
5 O 0.0000 0.0000 0.5000 (multiplicity 2)
6 O 0.0000 0.5000 0.0977 (multiplicity 8)

Results
As for the total energy: -8.58 eV per atom. Its polymorph energy (0 for the lowest one) is 15 meV per atom. The value obtained for the raw formation energy is -3.307 eV per atom. Its magnetic moment is 0.0 μB per formula unit. As for the crystal system: tetragonal.


# 4
Here is a relaxed structure of SrHfO2 from Alexandria. Energies are from GGA-PBEsol.

a b c (Å): 5.2766 5.2766 10.4906
angles (deg): 90.00 90.00 90.00
Space group I-42d (No. 122)
Symmetry-distinct sites (fractional):
1 Sr 0.0000 0.0000 0.0000 (multiplicity 4)
2 Hf 0.0000 0.0000 0.5000 (multiplicity 4)
3 O 0.1628 0.2500 0.6250 (multiplicity 8)

Results
As for the total energy: -8.08 eV per atom. The value obtained for the raw formation energy is -2.373 eV per atom. Its magnetic moment is 1.7 μB per formula unit. As for the crystal system: tetragonal.


# 5
Here is a relaxed structure of Sr3HfO from Alexandria. Energies are from GGA-PBEsol.

a b c (Å): 6.0005 6.0005 6.0005
angles (deg): 90.00 90.00 90.00
Space group Pm-3m (No. 221)
Symmetry-distinct sites (fractional):
1 Sr 0.0000 0.0000 0.5000 (multiplicity 3)
2 Hf 0.0000 0.0000 0.0000 (multiplicity 1)
3 O 0.5000 0.5000 0.5000 (multiplicity 1)

Results
As for the total energy: -3.05 eV per atom. The value obtained for the raw formation energy is 1.208 eV per atom. Its magnetic moment is 4.0 μB per formula unit. As for the crystal system: cubic.


# 6
Here is a relaxed structure of SrHfO3 from Alexandria. Energies are from GGA-PBEsol.

a b c (Å): 5.7653 8.1154 5.7342
angles (deg): 90.00 90.00 90.00
Space group Pnma (No. 62)
Symmetry-distinct sites (fractional):
1 Sr 0.0271 0.2500 0.0062 (multiplicity 4)
2 Hf 0.0000 0.0000 0.5000 (multiplicity 4)
3 O 0.0153 0.7500 0.4301 (multiplicity 4)
4 O 0.2182 0.5368 0.7820 (multiplicity 8)

Results
As for the total energy: -9.06 eV per atom. The value obtained for the raw formation energy is -3.444 eV per atom. Its magnetic moment is 0.0 μB per formula unit. As for the crystal system: orthorhombic.


# 7
Here is a relaxed structure of Sr3Hf2O7 from Alexandria. Energies are from GGA-PBEsol.

a b c (Å): 5.6956 21.1633 5.6957
angles (deg): 90.00 90.00 90.00
Space group Ccce (No. 68, origin choice 2)
Symmetry-distinct sites (fractional):
1 Sr 0.0000 0.0617 0.2500 (multiplicity 8)
2 Sr 0.0000 0.2500 0.2500 (multiplicity 4)
3 Hf 0.0000 0.1517 0.7500 (multiplicity 8)
4 O 0.0000 0.0537 0.7500 (multiplicity 8)
5 O 0.0000 0.2500 0.7500 (multiplicity 4)
6 O 0.1989 0.1533 0.0511 (multiplicity 16)

Results
As for the total energy: -8.59 eV per atom. Its polymorph energy (0 for the lowest one) is 0 meV per atom. The value obtained for the raw formation energy is -3.322 eV per atom. Its magnetic moment is 0.0 μB per formula unit. As for the crystal system: orthorhombic.


# 8
Here is a relaxed structure of SrHfTaO2 from Alexandria. Energies are from GGA-PBEsol.

a b c (Å): 3.9877 3.9877 6.7984
angles (deg): 90.00 90.00 90.00
Space group P4/mmm (No. 123)
Symmetry-distinct sites (fractional):
1 Sr 0.0000 0.0000 0.0000 (multiplicity 1)
2 Hf 0.5000 0.5000 0.0000 (multiplicity 1)
3 Ta 0.0000 0.0000 0.5000 (multiplicity 1)
4 O 0.0000 0.5000 0.5000 (multiplicity 2)

Results
As for the total energy: -7.22 eV per atom. The value obtained for the raw formation energy is -0.146 eV per atom. Its magnetic moment is 0.0 μB per formula unit. As for the crystal system: tetragonal.


# 9
Here is a relaxed structure of Sr2HfTiO6 from Alexandria. Energies are from GGA-PBEsol.

a b c (Å): 7.9896 7.9896 7.9896
angles (deg): 90.00 90.00 90.00
Space group Fm-3m (No. 225)
Symmetry-distinct sites (fractional):
1 Sr 0.2500 0.2500 0.2500 (multiplicity 8)
2 Hf 0.0000 0.0000 0.0000 (multiplicity 4)
3 Ti 0.0000 0.0000 0.5000 (multiplicity 4)
4 O 0.0000 0.0000 0.2560 (multiplicity 24)

Results
As for the total energy: -8.70 eV per atom. The value obtained for the raw formation energy is -3.298 eV per atom. Its magnetic moment is 0.0 μB per formula unit. As for the crystal system: cubic.


# 10
Here is a relaxed structure of Sr4HfTi3O12 from Alexandria. Energies are from GGA-PBEsol.

a b c (Å): 7.8974 15.7694 3.9643
angles (deg): 90.00 90.00 90.00
Space group Cmmm (No. 65)
Symmetry-distinct sites (fractional):
1 Sr 0.2421 0.1278 0.0000 (multiplicity 8)
2 Hf 0.0000 0.5000 0.5000 (multiplicity 2)
3 Ti 0.0000 0.0000 0.5000 (multiplicity 2)
4 Ti 0.0000 0.2492 0.5000 (multiplicity 4)
5 O 0.0000 0.0000 0.0000 (multiplicity 2)
6 O 0.0000 0.1248 0.5000 (multiplicity 4)
7 O 0.0000 0.2464 0.0000 (multiplicity 4)
8 O 0.0000 0.3700 0.5000 (multiplicity 4)
9 O 0.0000 0.5000 0.0000 (multiplicity 2)
10 O 0.2424 0.0000 0.5000 (multiplicity 4)
11 O 0.2500 0.2500 0.5000 (multiplicity 4)

Results
As for the total energy: -8.53 eV per atom. The value obtained for the raw formation energy is -3.240 eV per atom. Its magnetic moment is 0.0 μB per formula unit. As for the crystal system: orthorhombic.


# 11
Here is a relaxed structure of SrHf2TiO from Alexandria. Energies are from GGA-PBEsol.

a b c (Å): 5.4047 5.4047 4.1596
angles (deg): 90.00 90.00 90.00
Space group P4/mmm (No. 123)
Symmetry-distinct sites (fractional):
1 Sr 0.0000 0.0000 0.0000 (multiplicity 1)
2 Hf 0.0000 0.5000 0.0000 (multiplicity 2)
3 Ti 0.5000 0.5000 0.5000 (multiplicity 1)
4 O 0.0000 0.0000 0.5000 (multiplicity 1)

Results
As for the total energy: -5.81 eV per atom. The value obtained for the raw formation energy is 1.478 eV per atom. Its magnetic moment is 2.3 μB per formula unit. As for the crystal system: tetragonal.


# 12
Here is a relaxed structure of HfTcO3 from Alexandria. Energies are from GGA-PBEsol.

a b c (Å): 3.8417 3.8417 3.8417
angles (deg): 90.00 90.00 90.00
Space group Pm-3m (No. 221)
Symmetry-distinct sites (fractional):
1 Hf 0.0000 0.0000 0.0000 (multiplicity 1)
2 Tc 0.5000 0.5000 0.5000 (multiplicity 1)
3 O 0.0000 0.5000 0.5000 (multiplicity 3)

Results
As for the total energy: -8.63 eV per atom. The value obtained for the raw formation energy is -1.124 eV per atom. Its magnetic moment is 0.0 μB per formula unit. As for the crystal system: cubic.


# 13
Here is a relaxed structure of HfTe3O8 from Alexandria. Energies are from GGA-PBEsol.

a b c (Å): 11.1733 11.1733 11.1733
angles (deg): 90.00 90.00 90.00
Space group Ia-3 (No. 206)
Symmetry-distinct sites (fractional):
1 Hf 0.2500 0.2500 0.2500 (multiplicity 8)
2 Te 0.0000 0.2500 0.0384 (multiplicity 24)
3 O 0.0810 0.0810 0.0810 (multiplicity 16)
4 O 0.1144 0.1836 0.6448 (multiplicity 48)

Results
As for the total energy: -6.95 eV per atom. The value obtained for the raw formation energy is -1.697 eV per atom. Its magnetic moment is 0.0 μB per formula unit. As for the crystal system: cubic.


# 14
Here is a relaxed structure of HfTiO4 from Alexandria. Energies are from GGA-PBEsol.

a b c (Å): 4.6930 5.0643 5.6095
angles (deg): 90.00 90.00 90.00
Space group P2_12_12 (No. 18)
Symmetry-distinct sites (fractional):
1 Hf 0.0000 0.0000 0.0819 (multiplicity 2)
2 Ti 0.0000 0.5000 0.4266 (multiplicity 2)
3 O 0.2197 0.3392 0.1462 (multiplicity 4)
4 O 0.2341 0.8251 0.3742 (multiplicity 4)

Results
As for the total energy: -9.92 eV per atom. The value obtained for the raw formation energy is -3.286 eV per atom. Its magnetic moment is 0.0 μB per formula unit. As for the crystal system: orthorhombic.


# 15
Here is a relaxed structure of HfTiO4 from Alexandria. Energies are from GGA-PBEsol.

a b c (Å): 4.7427 5.5751 10.0411
angles (deg): 90.40 91.25 90.11
Space group P1 (No. 1)
Symmetry-distinct sites (fractional):
1 Hf 0.0000 0.0000 0.0000 (multiplicity 1)
2 Hf 0.0047 0.0087 0.4963 (multiplicity 1)
3 Hf 0.0107 0.3780 0.7547 (multiplicity 1)
4 Hf 0.5121 0.5132 0.4929 (multiplicity 1)
5 Ti 0.0048 0.3774 0.2447 (multiplicity 1)
6 Ti 0.5005 0.8756 0.2469 (multiplicity 1)
7 Ti 0.5021 0.8623 0.7504 (multiplicity 1)
8 Ti 0.5044 0.5143 0.0026 (multiplicity 1)
9 O 0.2137 0.3037 0.4061 (multiplicity 1)
10 O 0.2271 0.0742 0.1711 (multiplicity 1)
11 O 0.2407 0.2968 0.9244 (multiplicity 1)
12 O 0.2498 0.0787 0.6680 (multiplicity 1)
13 O 0.2652 0.5736 0.1605 (multiplicity 1)
14 O 0.2751 0.7876 0.9052 (multiplicity 1)
15 O 0.2829 0.5874 0.6590 (multiplicity 1)
16 O 0.2966 0.8047 0.4056 (multiplicity 1)
17 O 0.7024 0.8020 0.0882 (multiplicity 1)
18 O 0.7222 0.5816 0.8465 (multiplicity 1)
19 O 0.7343 0.7955 0.5945 (multiplicity 1)
20 O 0.7523 0.5855 0.3280 (multiplicity 1)
21 O 0.7583 0.0834 0.3283 (multiplicity 1)
22 O 0.7713 0.0744 0.8295 (multiplicity 1)
23 O 0.7747 0.3094 0.0833 (multiplicity 1)
24 O 0.7901 0.2959 0.5840 (multiplicity 1)

Results
As for the total energy: -9.94 eV per atom. The value obtained for the raw formation energy is -3.299 eV per atom. Its magnetic moment is 0.0 μB per formula unit. As for the crystal system: triclinic.


# 16
Here is a relaxed structure of HfTi3O from Alexandria. Energies are from GGA-PBEsol.

a b c (Å): 4.1830 4.1830 4.1830
angles (deg): 90.00 90.00 90.00
Space group Pm-3m (No. 221)
Symmetry-distinct sites (fractional):
1 Hf 0.0000 0.0000 0.0000 (multiplicity 1)
2 Ti 0.0000 0.5000 0.5000 (multiplicity 3)
3 O 0.5000 0.5000 0.5000 (multiplicity 1)

Results
As for the total energy: -9.26 eV per atom. The value obtained for the raw formation energy is -1.116 eV per atom. Its magnetic moment is 0.0 μB per formula unit. As for the crystal system: cubic.


# 17
Here is a relaxed structure of Hf3TiO from Alexandria. Energies are from GGA-PBEsol.

a b c (Å): 4.3833 4.3833 4.3833
angles (deg): 90.00 90.00 90.00
Space group Pm-3m (No. 221)
Symmetry-distinct sites (fractional):
1 Hf 0.0000 0.0000 0.5000 (multiplicity 3)
2 Ti 0.5000 0.5000 0.5000 (multiplicity 1)
3 O 0.0000 0.0000 0.0000 (multiplicity 1)

Results
As for the total energy: -10.11 eV per atom. The value obtained for the raw formation energy is -1.093 eV per atom. Its magnetic moment is 0.0 μB per formula unit. As for the crystal system: cubic.


# 18
Here is a relaxed structure of HfTlZnO2 from Alexandria. Energies are from GGA-PBEsol.

a b c (Å): 4.2017 4.2017 5.0044
angles (deg): 90.00 90.00 90.00
Space group P4/mmm (No. 123)
Symmetry-distinct sites (fractional):
1 Hf 0.0000 0.0000 0.0000 (multiplicity 1)
2 Tl 0.5000 0.5000 0.5000 (multiplicity 1)
3 Zn 0.5000 0.5000 0.0000 (multiplicity 1)
4 O 0.0000 0.5000 0.5000 (multiplicity 2)

Results
As for the total energy: -4.60 eV per atom. The value obtained for the raw formation energy is 0.446 eV per atom. Its magnetic moment is 0.0 μB per formula unit. As for the crystal system: tetragonal.